# YNi3Cl | Alexandria | PBE-GGA | optimized geometry
# Formation energy without anion corrections (eV per atom): 0.22
data_YNi3Cl
_chemical_formula_sum 'Y1 Ni3 Cl1'
_symmetry_space_group_name_H-M 'P 1'
_symmetry_Int_Tables_number 1
_cell_length_a 4.328
_cell_length_b 4.328
_cell_length_c 4.328
_cell_angle_alpha 90.00
_cell_angle_beta 90.00
_cell_angle_gamma 90.00
loop_
_symmetry_equiv_pos_as_xyz
'x,y,z'
loop_
_atom_site_label
_atom_site_type_symbol
_atom_site_fract_x
_atom_site_fract_y
_atom_site_fract_z
Y1 Y 0.000 0.000 0.000
Ni1 Ni 0.000 0.500 0.500
Ni2 Ni 0.500 0.000 0.500
Ni3 Ni 0.500 0.500 0.000
Cl1 Cl 0.500 0.500 0.500

# YNiCl | Alexandria | PBE-GGA | optimized geometry
# Formation energy without anion corrections (eV per atom): -0.45
data_YNiCl
_chemical_formula_sum 'Y4 Ni4 Cl4'
_symmetry_space_group_name_H-M 'P 1'
_symmetry_Int_Tables_number 1
_cell_length_a 6.531
_cell_length_b 6.531
_cell_length_c 6.531
_cell_angle_alpha 90.00
_cell_angle_beta 90.00
_cell_angle_gamma 90.00
loop_
_symmetry_equiv_pos_as_xyz
'x,y,z'
loop_
_atom_site_label
_atom_site_type_symbol
_atom_site_fract_x
_atom_site_fract_y
_atom_site_fract_z
Y1 Y 0.000 0.000 0.000
Y2 Y 0.000 0.500 0.500
Y3 Y 0.500 0.000 0.500
Y4 Y 0.500 0.500 0.000
Ni1 Ni 0.250 0.250 0.750
Ni2 Ni 0.250 0.750 0.250
Ni3 Ni 0.750 0.250 0.250
Ni4 Ni 0.750 0.750 0.750
Cl1 Cl 0.250 0.250 0.250
Cl2 Cl 0.250 0.750 0.750
Cl3 Cl 0.750 0.250 0.750
Cl4 Cl 0.750 0.750 0.250

# YNiCl | Alexandria | PBE-GGA | optimized geometry
# Formation energy without anion corrections (eV per atom): -0.26
data_YNiCl
_chemical_formula_sum 'Y4 Ni4 Cl4'
_symmetry_space_group_name_H-M 'P 1'
_symmetry_Int_Tables_number 1
_cell_length_a 6.430
_cell_length_b 6.430
_cell_length_c 6.430
_cell_angle_alpha 90.00
_cell_angle_beta 90.00
_cell_angle_gamma 90.00
loop_
_symmetry_equiv_pos_as_xyz
'x,y,z'
loop_
_atom_site_label
_atom_site_type_symbol
_atom_site_fract_x
_atom_site_fract_y
_atom_site_fract_z
Y1 Y 0.000 0.000 0.000
Y2 Y 0.000 0.500 0.500
Y3 Y 0.500 0.000 0.500
Y4 Y 0.500 0.500 0.000
Ni1 Ni 0.250 0.250 0.750
Ni2 Ni 0.250 0.750 0.250
Ni3 Ni 0.750 0.250 0.250
Ni4 Ni 0.750 0.750 0.750
Cl1 Cl 0.000 0.000 0.500
Cl2 Cl 0.000 0.500 0.000
Cl3 Cl 0.500 0.000 0.000
Cl4 Cl 0.500 0.500 0.500

# YNi2Cl | Alexandria | PBE-GGA | optimized geometry
# Formation energy without anion corrections (eV per atom): -0.21
data_YNi2Cl
_chemical_formula_sum 'Y1 Ni2 Cl1'
_symmetry_space_group_name_H-M 'P 1'
_symmetry_Int_Tables_number 1
_cell_length_a 3.705
_cell_length_b 3.729
_cell_length_c 4.945
_cell_angle_alpha 90.00
_cell_angle_beta 90.00
_cell_angle_gamma 90.00
loop_
_symmetry_equiv_pos_as_xyz
'x,y,z'
loop_
_atom_site_label
_atom_site_type_symbol
_atom_site_fract_x
_atom_site_fract_y
_atom_site_fract_z
Y1 Y 0.000 0.000 0.000
Ni1 Ni 0.000 0.500 0.500
Ni2 Ni 0.500 0.000 0.500
Cl1 Cl 0.500 0.500 0.000